Ti8GaSb2 | PBE | relaxed

Properties
Magnetic moment ... 0.00 Bohr magnetons per cell
DOS(E_F) ... 13.9 states/eV/f.u.
E_form (uncorrected) ... -316 meV/atom

Lattice parameters (Å, degrees): 3.953 6.943 7.885 109.93 104.52 90.00
Sites, in units of the cell vectors:
Ti 0.138 0.198 0.276
Ti 0.328 0.081 0.655
Ti 0.672 0.919 0.345
Ti 0.862 0.802 0.724
Ti 0.581 0.441 0.161
Ti 0.960 0.238 0.919
Ti 0.419 0.559 0.839
Ti 0.040 0.762 0.081
Sb 0.210 0.661 0.419
Sb 0.790 0.339 0.581
Ga 0.500 0.000 0.000

---

LaP2O2 | PBE | relaxed

Properties
Magnetic moment ... 2.17 Bohr magnetons per cell
DOS(E_F) ... 10.1 states/eV/f.u.
Polymorph energy (0 for the lowest one) ... 9.77 eV/f.u.
E_form (uncorrected) ... 733 meV/atom

Lattice parameters (Å, degrees): 5.838 5.838 4.227 90.00 90.00 90.00
Sites, in units of the cell vectors:
O 0.000 0.000 0.500
O 0.500 0.500 0.500
P 0.000 0.500 0.000
P 0.500 0.000 0.000
La 0.000 0.000 0.000

---

NaLiCdBr4 | PBE | relaxed

Properties
Magnetic moment ... 0.00 Bohr magnetons per cell
DOS(E_F) ... 0.0 states/eV/f.u.
E_form (uncorrected) ... -1237 meV/atom

Lattice parameters (Å, degrees): 8.233 8.276 8.276 61.08 60.17 60.17
Sites, in units of the cell vectors:
Br 0.237 0.260 0.266
Br 0.763 0.740 0.734
Br 0.763 0.234 0.240
Br 0.237 0.766 0.760
Br 0.236 0.254 0.754
Br 0.764 0.746 0.246
Br 0.757 0.254 0.754
Br 0.243 0.746 0.246
Na 0.500 0.000 0.500
Na 0.000 0.000 0.500
Li 0.641 0.609 0.109
Li 0.359 0.391 0.891
Cd 0.000 0.000 0.000
Cd 0.000 0.500 0.500

---

Th3Mg2Pb3 | PBE | relaxed

Properties
Magnetic moment ... 0.00 Bohr magnetons per cell
Formation energy from the elements ... -0.2329 eV/atom
DOS(E_F) ... 3.0 states/eV/f.u.

Lattice parameters (Å, degrees): 4.603 6.570 16.160 90.00 90.00 110.51
Sites, in units of the cell vectors:
Mg 0.777 0.555 0.894
Mg 0.777 0.555 0.606
Mg 0.223 0.445 0.106
Mg 0.223 0.445 0.394
Th 0.939 0.877 0.114
Th 0.358 0.717 0.750
Th 0.939 0.877 0.386
Th 0.061 0.123 0.886
Th 0.642 0.283 0.250
Th 0.061 0.123 0.614
Pb 0.620 0.239 0.040
Pb 0.380 0.761 0.960
Pb 0.634 0.268 0.750
Pb 0.380 0.761 0.540
Pb 0.620 0.239 0.460
Pb 0.366 0.732 0.250

---

Cs4SnSe4 | PBE | relaxed

Properties
Magnetic moment ... 0.00 Bohr magnetons per cell
DOS(E_F) ... 0.0 states/eV/f.u.
Polymorph energy (0 for the lowest one) ... 1.92 eV/f.u.
E_form (uncorrected) ... -841 meV/atom

Lattice parameters (Å, degrees): 7.272 8.367 8.367 79.11 64.24 64.24
Sites, in units of the cell vectors:
Se 0.078 0.158 0.686
Se 0.922 0.842 0.314
Se 0.236 0.686 0.842
Se 0.764 0.314 0.158
Cs 0.796 0.618 0.790
Cs 0.204 0.382 0.210
Cs 0.414 0.790 0.382
Cs 0.586 0.210 0.618
Sn 0.000 0.000 0.000

---

AsPd | PBE | relaxed

Properties
Magnetic moment ... 0.00 Bohr magnetons per cell
Formation energy from the elements ... -0.2322 eV/atom
DOS(E_F) ... 0.9 states/eV/f.u.

Lattice parameters (Å, degrees): 4.504 3.471 8.890 90.00 105.44 90.00
Sites, in units of the cell vectors:
Pd 0.827 0.500 0.115
Pd 0.173 0.500 0.885
Pd 0.173 0.000 0.385
Pd 0.827 0.000 0.615
As 0.695 0.500 0.380
As 0.305 0.500 0.620
As 0.695 0.000 0.880
As 0.305 0.000 0.120

---

Th3AgO | PBE | relaxed

Properties
Magnetic moment ... 0.00 Bohr magnetons per cell
DOS(E_F) ... 5.6 states/eV/f.u.
E_form (uncorrected) ... -955 meV/atom

Lattice parameters (Å, degrees): 4.969 4.969 4.969 90.00 90.00 90.00
Sites, in units of the cell vectors:
O 0.000 0.000 0.000
Ag 0.500 0.500 0.500
Th 0.000 0.500 0.000
Th 0.000 0.000 0.500
Th 0.500 0.000 0.000

---

BiH2Rh | PBE | relaxed

Properties
Magnetic moment ... 0.00 Bohr magnetons per cell
DOS(E_F) ... 1.6 states/eV/f.u.
Polymorph energy (0 for the lowest one) ... 0.00 eV/f.u.

Lattice parameters (Å, degrees): 3.366 3.366 5.253 108.69 108.70 89.83
Sites, in units of the cell vectors:
H 0.048 0.048 0.095
H 0.548 0.548 0.095
Bi 0.298 0.797 0.595
Rh 0.607 0.107 0.215

---

> Among the records above, which one has the highest DOS(E_F)?

Ti8GaSb2